one.
Li2HfTa: optimized geometry, PBE.

a b c (Å): 4.5327 4.5327 4.5327
angles (deg): 60.00 60.00 60.00
Atoms (fractional coordinates):
Hf  0.0000  0.0000  0.0000
Li  0.7500  0.7500  0.7500
Li  0.2500  0.2500  0.2500
Ta  0.5000  0.5000  0.5000

Calculated values
As for the space group: Fm-3m (225). The volume comes out at 16.46 A^3/atom.

two.
Li2HfTa: optimized geometry, PBE.

a b c (Å): 7.3430 7.3430 5.8179
angles (deg): 50.87 50.87 90.00
Atoms (fractional coordinates):
Li  0.3750  0.3719  0.7500
Li  0.1219  0.6250  0.2500
Li  0.6281  0.1250  0.2500
Li  0.8750  0.8781  0.7500
Ta  0.0000  0.0000  0.0000
Ta  0.7500  0.2500  0.5000
Hf  0.5000  0.5000  0.0000
Hf  0.2500  0.7500  0.5000

Calculated values
As for the space group: I-42d (122). The volume comes out at 17.69 A^3/atom.

Which of them is least stable? Easy: two.

one.
LiHfTc2: optimized geometry, PBE.

a b c (Å): 5.2052 5.4442 5.4705
angles (deg): 100.72 102.81 118.24
Atoms (fractional coordinates):
Li  0.5823  0.4217  0.3958
Li  0.0316  0.4417  0.6430
Tc  0.5462  0.9009  0.6272
Tc  0.0503  0.9149  0.9048
Tc  0.5516  0.4386  0.8961
Tc  0.5361  0.9078  0.1475
Hf  0.0690  0.9559  0.4176
Hf  0.0377  0.3995  0.1221

Calculated values
As for the space group: P1 (1). The volume comes out at 15.66 A^3/atom.

two.
LiHfTc2: optimized geometry, PBE.

a b c (Å): 4.4431 4.4431 4.4431
angles (deg): 60.00 60.00 60.00
Atoms (fractional coordinates):
Tc  0.2500  0.2500  0.2500
Tc  0.7500  0.7500  0.7500
Li  0.0000  0.0000  0.0000
Hf  0.5000  0.5000  0.5000

Calculated values
As for the space group: Fm-3m (225). The volume comes out at 15.51 A^3/atom.

three.
LiHfTc2: optimized geometry, PBE.

a b c (Å): 4.4440 6.6133 8.6063
angles (deg): 90.00 90.00 90.00
Atoms (fractional coordinates):
Hf  0.7500  0.3508  0.2094
Hf  0.2500  0.6492  0.2094
Hf  0.2500  0.1492  0.7094
Hf  0.7500  0.8508  0.7094
Li  0.2500  0.8622  0.9471
Li  0.7500  0.6378  0.4471
Li  0.7500  0.1378  0.9471
Li  0.2500  0.3622  0.4471
Tc  0.7500  0.6065  0.9575
Tc  0.2500  0.6314  0.6834
Tc  0.2500  0.8935  0.4575
Tc  0.2500  0.1314  0.1834
Tc  0.2500  0.3935  0.9575
Tc  0.7500  0.8686  0.1834
Tc  0.7500  0.3686  0.6834
Tc  0.7500  0.1065  0.4575

Calculated values
As for the space group: Ama2 (40). The volume comes out at 15.81 A^3/atom.

four.
LiHfTc2: optimized geometry, PBE.

a b c (Å): 7.0332 7.0332 5.5951
angles (deg): 51.06 51.06 90.00
Atoms (fractional coordinates):
Hf  0.0000  0.0000  0.0000
Hf  0.7500  0.2500  0.5000
Li  0.5000  0.5000  0.0000
Li  0.2500  0.7500  0.5000
Tc  0.1570  0.6250  0.2500
Tc  0.8750  0.8430  0.7500
Tc  0.3750  0.4070  0.7500
Tc  0.5930  0.1250  0.2500

Calculated values
As for the space group: I-42d (122). The volume comes out at 15.85 A^3/atom.

Which of them is least stable? Easy: four.

one.
LiHfTc: optimized geometry, PBE.

a b c (Å): 4.3146 15.0217 3.2022
angles (deg): 90.00 90.00 90.00
Atoms (fractional coordinates):
Hf  0.5000  0.9117  0.7500
Hf  0.5000  0.0883  0.2500
Hf  0.0000  0.4117  0.7500
Hf  0.0000  0.5883  0.2500
Li  0.0000  0.7645  0.7500
Li  0.5000  0.2645  0.7500
Li  0.5000  0.7355  0.2500
Li  0.0000  0.2355  0.2500
Tc  0.5000  0.5730  0.7500
Tc  0.5000  0.4270  0.2500
Tc  0.0000  0.9270  0.2500
Tc  0.0000  0.0730  0.7500

Calculated values
As for the space group: Cmcm (63). The volume comes out at 17.30 A^3/atom.

two.
LiHfTc: optimized geometry, PBE.

a b c (Å): 6.5926 3.1780 10.3411
angles (deg): 90.00 106.55 90.00
Atoms (fractional coordinates):
Li  0.6185  0.0000  0.1966
Li  0.6185  0.5000  0.6966
Li  0.3815  0.5000  0.3034
Li  0.3815  0.0000  0.8034
Hf  0.2383  0.0000  0.5036
Hf  0.7617  0.0000  0.4964
Hf  0.7617  0.5000  0.9964
Hf  0.2383  0.5000  0.0036
Tc  0.9473  0.0000  0.8372
Tc  0.0527  0.5000  0.6628
Tc  0.0527  0.0000  0.1628
Tc  0.9473  0.5000  0.3372

Calculated values
As for the space group: C2/m (12). The volume comes out at 17.31 A^3/atom.

three.
LiHfTc: optimized geometry, PBE.

a b c (Å): 14.5411 4.3812 3.2519
angles (deg): 90.00 90.00 90.00
Atoms (fractional coordinates):
Hf  0.1721  0.0000  0.5000
Hf  0.8279  0.0000  0.5000
Hf  0.6721  0.5000  0.5000
Hf  0.3279  0.5000  0.5000
Li  0.5000  0.5000  0.0000
Li  0.5000  0.0000  0.5000
Li  0.0000  0.5000  0.5000
Li  0.0000  0.0000  0.0000
Tc  0.3328  0.0000  0.0000
Tc  0.1672  0.5000  0.0000
Tc  0.8328  0.5000  0.0000
Tc  0.6672  0.0000  0.0000

Calculated values
As for the space group: Cmmm (65). The volume comes out at 17.26 A^3/atom.

Which of them is least stable? Easy: two.

one.
LiHfTc: optimized geometry, PBE.

a b c (Å): 3.2283 7.8049 4.1145
angles (deg): 90.00 90.00 90.00
Atoms (fractional coordinates):
Tc  0.5000  0.2257  0.5000
Tc  0.0000  0.7743  0.0000
Hf  0.5000  0.8778  0.5000
Hf  0.0000  0.1222  0.0000
Li  0.5000  0.4706  0.0000
Li  0.0000  0.5294  0.5000

Calculated values
As for the space group: Pmmn (59). The volume comes out at 17.28 A^3/atom.

two.
LiHfTc: optimized geometry, PBE.

a b c (Å): 15.1157 3.2201 4.2839
angles (deg): 90.00 90.00 90.00
Atoms (fractional coordinates):
Li  0.0000  0.0000  0.0000
Li  0.0000  0.5000  0.5000
Li  0.5000  0.0000  0.5000
Li  0.5000  0.5000  0.0000
Hf  0.3365  0.0000  0.0000
Hf  0.1635  0.5000  0.0000
Hf  0.6635  0.0000  0.0000
Hf  0.8365  0.5000  0.0000
Tc  0.6761  0.5000  0.5000
Tc  0.1761  0.0000  0.5000
Tc  0.8239  0.0000  0.5000
Tc  0.3239  0.5000  0.5000

Calculated values
As for the space group: Cmmm (65). The volume comes out at 17.38 A^3/atom.

three.
LiHfTc: optimized geometry, PBE.

a b c (Å): 3.2361 14.5627 4.3962
angles (deg): 90.00 90.00 90.00
Atoms (fractional coordinates):
Hf  0.5000  0.4206  0.7500
Hf  0.5000  0.5794  0.2500
Hf  0.0000  0.0794  0.2500
Hf  0.0000  0.9206  0.7500
Tc  0.0000  0.5805  0.7500
Tc  0.5000  0.9195  0.2500
Tc  0.5000  0.0805  0.7500
Tc  0.0000  0.4195  0.2500
Li  0.0000  0.2395  0.7500
Li  0.5000  0.7395  0.7500
Li  0.0000  0.7605  0.2500
Li  0.5000  0.2605  0.2500

Calculated values
As for the space group: Cmcm (63). The volume comes out at 17.26 A^3/atom.

Which of them is least stable? Easy: one.